Entry from the Alexandria database: a geometry-optimized CsSc2WF structure (GGA+U).

Summary:
- energy (eV per atom) = -4.474
- space-group type = No. 123

Lattice parameters (Å, degrees): 4.6876 4.6876 5.4879 90.00 90.00 90.00
Sites, in units of the cell vectors:
Cs 0.0000 0.0000 0.0000
Sc 0.0000 0.5000 0.5000
Sc 0.5000 0.0000 0.5000
W 0.5000 0.5000 0.0000
F 0.0000 0.0000 0.5000